! BOs3Br, relaxed, DFT GGA-PBE; values from VASP
&SYSTEM
  ibrav = 0, nat = 5, ntyp = 3
/
ATOMIC_SPECIES
Os 190.23 Os.upf
B 10.81 B.upf
Br 79.90 Br.upf
CELL_PARAMETERS angstrom
4.175 0.000 0.000
0.000 4.175 0.000
0.000 0.000 4.175
ATOMIC_POSITIONS crystal
Os 0.500 0.000 0.000
Os 0.000 0.500 0.000
Os 0.000 0.000 0.500
B 0.000 0.000 0.000
Br 0.500 0.500 0.500
! Polymorph energy (0 for the lowest one)   0.0000 eV/atom
! Total DFT energy (no corrections)   -7.1397 eV per atom
! Total magnetization   0.00 Bohr magnetons per cell
! DOS at the Fermi energy   2.4 states/eV/f.u.
! SG   Pm-3m
! Formation energy without anion corrections   1.268 eV/atom